1) The following is a PBE calculation of a relaxed LaTb4Pr crystal, from the Alexandria database.

Cell: 6.981 6.981 9.815 Å, 90.00 90.00 121.42°
Fractional positions:
La  0.000  0.000  0.000
La  0.000  0.000  0.500
Tb  0.656  0.344  0.928
Tb  0.344  0.656  0.428
Tb  0.344  0.656  0.072
Tb  0.656  0.344  0.572
Tb  0.368  0.163  0.250
Tb  0.632  0.837  0.750
Tb  0.163  0.368  0.750
Tb  0.837  0.632  0.250
Pr  0.179  0.821  0.750
Pr  0.821  0.179  0.250

Results
Fermi-level density of states	1.5527	states/eV/atom
mass density	7.4	g/cm3
SG	Cmcm, No. 63

=====

2) The following is a PBE calculation of a relaxed LaTb4Pr crystal, from the Alexandria database.

Cell: 5.111 8.094 11.434 Å, 148.00 90.01 108.44°
Fractional positions:
La  0.000  0.000  0.000
Tb  0.834  0.669  0.502
Tb  0.166  0.331  0.498
Tb  0.334  0.668  0.003
Tb  0.666  0.332  0.997
Pr  0.500  0.000  0.500

Results
Fermi-level density of states	1.4868	states/eV/atom
mass density	7.6	g/cm3
SG	P-1, No. 2

=====

Most stable: 2) (next structure +20.8 kJ/mol of atoms)